First-principles (GGA-PBE) data for crystalline Li4Ce3DySe8 at its relaxed geometry, as listed in Alexandria.

Calculated total energy (eV/f.u.): -83.83
SG: R-3m (166)
Formation energy (no corrections) (eV/atom): -1.618
DOS(E_F) (states/eV per cell): 19.22
M_tot (μB per atom): 0.19
V (Å³/atom): 24.56

abc: 8.359 8.094 8.357
angles: 121.10 120.01 90.00
Fractional coordinates of all 16 atoms:
Se (0.751, 0.243, 0.502)
Se (0.249, 0.757, 0.008)
Se (0.241, 0.243, 0.992)
Se (0.246, 0.239, 0.493)
Se (0.249, 0.757, 0.498)
Se (0.754, 0.761, 0.507)
Se (0.751, 0.243, 0.992)
Se (0.759, 0.757, 0.008)
Ce (0.000, 0.500, 0.500)
Ce (0.500, 0.500, 0.500)
Ce (0.500, 0.500, 0.000)
Li (0.000, 0.000, 0.000)
Li (0.500, 0.000, 0.500)
Li (0.500, 0.000, 0.000)
Li (0.000, 0.000, 0.500)
Dy (0.000, 0.500, 0.000)